1.
A relaxed structure of SiHg4Pb, computed with PBEsol.

Summary:
- calculated total energy (eV per atom) = -1.662
- space-group type = F-43m (216)
- spin magnetization (μB/f.u.) = 0.0
- uncorrected formation energy (kJ/mol of atoms) = 32.8

a b c (Å): 5.8532 5.8532 5.8532
angles (deg): 60.00 60.00 60.00
Closest atoms and distances in Å follow each position.
Sites, in units of the cell vectors:
Si: 0.0000 0.0000 0.0000  12 Hg 3.43, 4 Pb 3.58
Hg: 0.8758 0.3747 0.3747  6 Hg 2.92-2.93
Hg: 0.3747 0.3747 0.8758  6 Hg 2.92-2.93
Hg: 0.3747 0.3747 0.3747  6 Hg 2.92-2.93
Hg: 0.3747 0.8758 0.3747  6 Hg 2.92-2.93
Pb: 0.7500 0.7500 0.7500  12 Hg 3.43, 4 Si 3.58


2.
A relaxed structure of SiHgPb2, computed with PBEsol.

Summary:
- ΔE to the lowest computed polymorph (kJ/mol of atoms) = 1.6
- calculated total energy (eV per atom) = -3.294
- space-group type = P4/mmm (123)
- spin magnetization (μB/f.u.) = 0.0
- uncorrected formation energy (kJ/mol of atoms) = 27.4

a b c (Å): 3.4403 5.3353 5.3353
angles (deg): 90.00 90.00 90.00
Closest atoms and distances in Å follow each position.
Sites, in units of the cell vectors:
Hg: 0.5000 0.0000 0.0000  8 Pb 3.17, 2 Hg 3.44
Pb: 0.0000 0.0000 0.5000  4 Si 3.17, 4 Hg 3.17, 2 Pb 3.44
Pb: 0.0000 0.5000 0.0000  4 Si 3.17, 4 Hg 3.17, 2 Pb 3.44
Si: 0.5000 0.5000 0.5000  8 Pb 3.17, 2 Si 3.44


3.
A relaxed structure of SiHgPb, computed with PBEsol.

Summary:
- ΔE to the lowest computed polymorph (kJ/mol of atoms) = 4.6
- calculated total energy (eV per atom) = -3.102
- space-group type = Fmm2 (42)
- spin magnetization (μB/f.u.) = 0.0
- uncorrected formation energy (kJ/mol of atoms) = 32.4

a b c (Å): 3.3752 3.3752 6.4364
angles (deg): 104.58 104.58 92.28
Closest atoms and distances in Å follow each position.
Sites, in units of the cell vectors:
Hg: 0.9787 0.9787 0.9575  4 Si 2.83-2.91
Pb: 0.6760 0.6760 0.3520  4 Si 3.10-3.17, 4 Hg 3.33-3.39, 4 Pb 3.38
Si: 0.3453 0.3453 0.6905  4 Hg 2.83-2.91, 4 Pb 3.10-3.17